[1]
{"formula": "NaAcEuMg", "functional": "PBE", "state": "optimized geometry", "lattice": [[0.000, 4.188, 4.188], [4.188, 0.000, 4.188], [4.188, 4.188, 0.000]], "species": ["Na", "Ac", "Eu", "Mg"], "frac_coords": [[0.000, 0.000, 0.000], [0.750, 0.750, 0.750], [0.250, 0.250, 0.250], [0.500, 0.500, 0.500]], "spacegroup": "F-43m", "density_g_cm3": 4.8, "e_tot_ev_per_atom": -4.249, "dos_at_fermi_per_ev_cell": 11.85}


[2]
{"formula": "KY2Zn", "functional": "PBE", "state": "optimized geometry", "lattice": [[-1.731, 3.032, 6.223], [1.731, -3.032, 6.223], [1.731, 3.032, -6.223]], "species": ["K", "Y", "Y", "Zn"], "frac_coords": [[0.000, 0.000, 0.000], [0.299, 0.799, 0.500], [0.701, 0.201, 0.500], [0.500, 0.500, 0.000]], "spacegroup": "Immm", "density_g_cm3": 3.6, "e_tot_ev_per_atom": -3.630, "dos_at_fermi_per_ev_cell": 4.45}


[3]
{"formula": "TcMoRh4", "functional": "PBE", "state": "optimized geometry", "lattice": [[2.365, -4.113, 0.000], [2.365, 4.113, 0.000], [-1.600, 0.000, 4.448]], "species": ["Tc", "Mo", "Rh", "Rh", "Rh", "Rh"], "frac_coords": [[0.000, 0.000, 0.000], [0.500, 0.500, 0.500], [0.164, 0.836, 0.500], [0.335, 0.665, 0.000], [0.665, 0.335, 0.000], [0.836, 0.164, 0.500]], "spacegroup": "C2/m", "density_g_cm3": 11.6, "e_tot_ev_per_atom": -8.581, "dos_at_fermi_per_ev_cell": 6.12}


[4]
{"formula": "Fe2BRuAu", "functional": "PBE", "state": "optimized geometry", "lattice": [[4.794, 0.000, 0.000], [0.000, 4.794, 0.000], [0.000, 0.000, 3.915]], "species": ["Fe", "Fe", "B", "Ru", "Au"], "frac_coords": [[0.000, 0.500, 0.000], [0.500, 0.000, 0.000], [0.000, 0.000, 0.500], [0.500, 0.500, 0.500], [0.000, 0.000, 0.000]], "spacegroup": "P4/mmm", "density_g_cm3": 7.8, "e_tot_ev_per_atom": -5.616, "dos_at_fermi_per_ev_cell": 5.44}


[5]
{"formula": "NaTl3Re", "functional": "PBE", "state": "optimized geometry", "lattice": [[5.363, 0.000, 0.000], [0.000, 5.363, 0.000], [0.000, 0.000, 5.363]], "species": ["Na", "Tl", "Tl", "Tl", "Re"], "frac_coords": [[0.000, 0.000, 0.000], [0.000, 0.500, 0.500], [0.500, 0.000, 0.500], [0.500, 0.500, 0.000], [0.500, 0.500, 0.500]], "spacegroup": "Pm-3m", "density_g_cm3": 8.9, "e_tot_ev_per_atom": -3.735, "dos_at_fermi_per_ev_cell": 3.11}


[6]
{"formula": "VAgBi2", "functional": "PBE", "state": "optimized geometry", "lattice": [[-3.220, 3.220, 6.265], [3.220, -3.220, 6.265], [3.220, 3.220, -6.265]], "species": ["V", "V", "Ag", "Ag", "Bi", "Bi", "Bi", "Bi"], "frac_coords": [[0.000, 0.000, 0.000], [0.750, 0.250, 0.500], [0.250, 0.750, 0.500], [0.500, 0.500, 0.000], [0.093, 0.625, 0.968], [0.375, 0.343, 0.468], [0.657, 0.125, 0.032], [0.875, 0.907, 0.532]], "spacegroup": "I-42d", "density_g_cm3": 7.4, "e_tot_ev_per_atom": -4.251, "dos_at_fermi_per_ev_cell": 3.32}


[7]
{"formula": "In2AgN", "functional": "PBE", "state": "optimized geometry", "lattice": [[-3.136, 3.136, 4.288], [3.136, -3.136, 4.288], [3.136, 3.136, -4.288]], "species": ["In", "In", "In", "In", "Ag", "Ag", "N", "N"], "frac_coords": [[0.051, 0.625, 0.926], [0.375, 0.301, 0.426], [0.699, 0.125, 0.074], [0.875, 0.949, 0.574], [0.250, 0.750, 0.500], [0.500, 0.500, 0.000], [0.000, 0.000, 0.000], [0.750, 0.250, 0.500]], "spacegroup": "I-42d", "formation_energy_uncorrected_ev_per_atom": 0.272, "density_g_cm3": 6.9, "dos_at_fermi_per_ev_cell": 0.03}


[8]
{"formula": "LiPdBr", "functional": "PBE", "state": "optimized geometry", "lattice": [[8.694, 0.000, 0.000], [0.000, 1.979, 3.566], [0.000, -1.979, 3.566]], "species": ["Li", "Li", "Pd", "Pd", "Br", "Br"], "frac_coords": [[0.173, 0.000, 0.000], [0.827, 0.000, 0.000], [0.000, 0.672, 0.672], [0.500, 0.941, 0.941], [0.288, 0.672, 0.672], [0.712, 0.672, 0.672]], "spacegroup": "Amm2", "formation_energy_uncorrected_ev_per_atom": -0.426, "density_g_cm3": 5.2, "dos_at_fermi_per_ev_cell": 1.51}


[9]
{"formula": "Cd8Te", "functional": "PBE", "state": "optimized geometry", "lattice": [[-4.917, 4.917, 2.248], [4.917, -4.917, 2.248], [4.917, 4.917, -2.248]], "species": ["Cd", "Cd", "Cd", "Cd", "Cd", "Cd", "Cd", "Cd", "Te"], "frac_coords": [[0.000, 0.339, 0.339], [0.000, 0.661, 0.661], [0.326, 0.326, 0.652], [0.326, 0.674, 0.000], [0.339, 0.000, 0.339], [0.661, 0.000, 0.661], [0.674, 0.326, 0.000], [0.674, 0.674, 0.348], [0.000, 0.000, 0.000]], "spacegroup": "I4/mmm", "formation_energy_uncorrected_ev_per_atom": 0.034, "density_g_cm3": 7.8, "dos_at_fermi_per_ev_cell": 3.33}


[10]
{"formula": "CaDyGa", "functional": "PBE", "state": "optimized geometry", "lattice": [[5.193, 0.000, 0.000], [-2.597, 4.498, 0.000], [0.000, 0.000, 6.711]], "species": ["Ca", "Ca", "Dy", "Dy", "Ga", "Ga"], "frac_coords": [[0.000, 0.000, 0.000], [0.000, 0.000, 0.500], [0.333, 0.667, 0.250], [0.667, 0.333, 0.750], [0.333, 0.667, 0.750], [0.667, 0.333, 0.250]], "spacegroup": "P6_3/mmc", "density_g_cm3": 5.8, "e_tot_ev_per_atom": -3.601, "dos_at_fermi_per_ev_cell": 1.89}


[11]
{"formula": "Pm2InAu3", "functional": "PBE", "state": "optimized geometry", "lattice": [[0.000, 4.803, 8.366], [3.540, 0.000, 8.366], [3.540, 4.803, 0.000]], "species": ["Pm", "Pm", "Pm", "Pm", "In", "In", "Au", "Au", "Au", "Au", "Au", "Au"], "frac_coords": [[0.241, 0.759, 0.759], [0.250, 0.250, 0.250], [0.750, 0.750, 0.750], [0.759, 0.241, 0.241], [0.334, 0.334, 0.666], [0.666, 0.666, 0.334], [0.168, 0.168, 0.832], [0.169, 0.664, 0.336], [0.336, 0.831, 0.169], [0.664, 0.169, 0.831], [0.831, 0.336, 0.664], [0.832, 0.832, 0.168]], "spacegroup": "Fmmm", "density_g_cm3": 11.6, "e_tot_ev_per_atom": -4.387, "dos_at_fermi_per_ev_cell": 6.91}


[12]
{"formula": "MnFe2MoH", "functional": "PBE", "state": "optimized geometry", "lattice": [[3.621, 0.000, 0.000], [0.000, 3.621, 0.000], [0.000, 0.000, 3.890]], "species": ["Mn", "Fe", "Fe", "Mo", "H"], "frac_coords": [[0.000, 0.000, 0.000], [0.000, 0.500, 0.500], [0.500, 0.000, 0.500], [0.500, 0.500, 0.000], [0.500, 0.500, 0.500]], "spacegroup": "P4/mmm", "density_g_cm3": 8.6, "e_tot_ev_per_atom": -7.983, "dos_at_fermi_per_ev_cell": 3.88}